PBE+U Li2Mn3F8, optimized geometry; VASP energy = -5.85 eV per atom; space-group type = No. 31
1.0
6.374 0.000 0.000
0.000 5.788 0.000
0.000 0.000 10.299
Li Mn F
4 6 16
direct
0.000 0.237 0.000
0.000 0.745 0.546
0.500 0.255 0.046
0.500 0.763 0.500
0.000 0.020 0.278
0.247 0.480 0.769
0.253 0.520 0.269
0.500 0.980 0.778
0.747 0.520 0.269
0.753 0.480 0.769
0.000 0.351 0.369
0.000 0.441 0.638
0.000 0.530 0.901
0.000 0.697 0.174
0.219 0.202 0.154
0.219 0.827 0.394
0.281 0.173 0.894
0.281 0.798 0.654
0.500 0.303 0.674
0.500 0.470 0.401
0.500 0.559 0.138
0.500 0.649 0.869
0.719 0.173 0.894
0.719 0.798 0.654
0.781 0.202 0.154
0.781 0.827 0.394